1.
## MnAl2Cd (PBE-GGA)

Data for a relaxed structure of MnAl2Cd.

Results
Its crystal system is orthorhombic.

Unit cell a=5.6559 b=8.0124 c=2.8806 alpha=90.00 beta=90.00 gamma=90.00
Element x y z (fractional)
Mn  0.0000  0.0000  0.0000
Mn  0.5000  0.5000  0.0000
Al  0.2500  0.2500  0.5000
Al  0.2500  0.7500  0.5000
Al  0.7500  0.2500  0.5000
Al  0.7500  0.7500  0.5000
Cd  0.0000  0.5000  0.0000
Cd  0.5000  0.0000  0.0000


2.
## Mn2AlCd (PBE-GGA)

Data for a relaxed structure of Mn2AlCd.

Results
Its crystal system is tetragonal.

Unit cell a=4.0213 b=4.0213 c=7.5819 alpha=90.00 beta=90.00 gamma=90.00
Element x y z (fractional)
Mn  0.0000  0.5000  0.2500
Mn  0.0000  0.5000  0.7500
Mn  0.5000  0.0000  0.2500
Mn  0.5000  0.0000  0.7500
Al  0.0000  0.0000  0.0000
Al  0.5000  0.5000  0.5000
Cd  0.0000  0.0000  0.5000
Cd  0.5000  0.5000  0.0000


3.
## MnAl2Cd (PBE-GGA)

Data for a relaxed structure of MnAl2Cd.

Results
Its crystal system is orthorhombic.

Unit cell a=2.9853 b=3.8947 c=5.6137 alpha=90.00 beta=90.00 gamma=90.00
Element x y z (fractional)
Mn  0.0000  0.0000  0.0000
Al  0.0000  0.0000  0.4592
Al  0.5000  0.5000  0.2013
Cd  0.5000  0.5000  0.7208


4.
## Mn2AlCd (PBE-GGA)

Data for a relaxed structure of Mn2AlCd.

Results
Its crystal system is orthorhombic.

Unit cell a=2.8418 b=4.5426 c=4.8208 alpha=90.00 beta=90.00 gamma=90.00
Element x y z (fractional)
Mn  0.0000  0.0000  0.0000
Mn  0.0000  0.5000  0.3439
Al  0.5000  0.5000  0.8780
Cd  0.5000  0.0000  0.5025


Number 1: energy relative to the elements 0.10 eV/atom, total DFT energy (no corrections) -34.4 eV for the cell shown. Number 2: energy relative to the elements 0.12 eV/atom, total DFT energy (no corrections) -45.1 eV for the cell shown. Number 3: energy relative to the elements 0.06 eV/atom, total DFT energy (no corrections) -17.3 eV for the cell shown. Number 4: energy relative to the elements 0.13 eV/atom, total DFT energy (no corrections) -22.5 eV for the cell shown.